# K2GaAs2, relaxed, DFT PBE
# **Offset from the most stable computed form**: 0.0 meV/atom
# **Crystal system**: monoclinic
# **Formation energy**: -2.5 eV/f.u.
data_K2GaAs2
_cell_length_a 14.568
_cell_length_b 9.030
_cell_length_c 11.304
_cell_angle_alpha 61.89
_cell_angle_beta 90.00
_cell_angle_gamma 90.00
_space_group_name_H-M_alt 'P 1'
_space_group_IT_number 1
loop_
_space_group_symop_operation_xyz
'x,y,z'
loop_
_atom_site_label
_atom_site_type_symbol
_atom_site_fract_x
_atom_site_fract_y
_atom_site_fract_z
_atom_site_occupancy
As1 As 0.285 0.896 0.272 1
As2 As 0.973 0.732 0.276 1
Ga1 Ga 0.217 0.154 0.245 1
K1 K 0.621 0.477 0.558 1
As3 As 0.683 0.618 0.781 1
As4 As 0.785 0.104 0.228 1
K2 K 0.871 0.589 0.588 1
K3 K 0.121 0.523 0.942 1
Ga2 Ga 0.557 0.004 0.757 1
Ga3 Ga 0.943 0.004 0.257 1
As5 As 0.715 0.104 0.728 1
K4 K 0.879 0.477 0.058 1
K5 K 0.629 0.589 0.088 1
As6 As 0.053 0.215 0.243 1
Ga4 Ga 0.717 0.846 0.255 1
As7 As 0.947 0.785 0.757 1
As8 As 0.027 0.268 0.724 1
K6 K 0.872 0.993 0.968 1
K7 K 0.385 0.800 0.023 1
As9 As 0.215 0.896 0.772 1
K8 K 0.128 0.007 0.032 1
K9 K 0.371 0.411 0.912 1
K10 K 0.379 0.523 0.442 1
As10 As 0.317 0.382 0.219 1
K11 K 0.115 0.800 0.523 1
K12 K 0.885 0.200 0.477 1
As11 As 0.473 0.268 0.224 1
Ga5 Ga 0.783 0.846 0.755 1
As12 As 0.817 0.618 0.281 1
Ga6 Ga 0.057 0.996 0.743 1
K13 K 0.372 0.007 0.532 1
Ga7 Ga 0.443 0.996 0.243 1
As13 As 0.447 0.215 0.743 1
K14 K 0.628 0.993 0.468 1
Ga8 Ga 0.283 0.154 0.745 1
As14 As 0.553 0.785 0.257 1
K15 K 0.129 0.411 0.412 1
As15 As 0.183 0.382 0.719 1
K16 K 0.615 0.200 0.977 1
As16 As 0.527 0.732 0.776 1